(1)
VASP calculation (SCAN) on P3RhSe at its PBEsol-relaxed geometry.

POSCAR file:
```
P3RhSe
1.0
4.537 0.000 0.000
0.000 4.537 0.000
0.000 0.000 4.537
P Rh Se
3 1 1
Direct
0.000 0.000 0.500 P
0.000 0.500 0.000 P
0.500 0.000 0.000 P
0.000 0.000 0.000 Rh
0.500 0.500 0.500 Se
```

Output
Energy ... -81.234 eV for the cell shown
ΔE_f (raw) ... 0.762 eV/atom
Symmetry ... No. 221
Calculated volume ... 18.7 Å³ per atom
Spin magnetization ... 0.00 μB per cell

***

(2)
VASP calculation (SCAN) on P2RhSe at its PBEsol-relaxed geometry.

POSCAR file:
```
P2RhSe
1.0
2.792 0.000 0.000
0.000 2.792 0.000
0.000 0.000 8.336
P Rh Se
2 1 1
Direct
0.000 0.000 0.186 P
0.000 0.000 0.814 P
0.500 0.500 0.000 Rh
0.500 0.500 0.500 Se
```

Output
Energy ... -73.906 eV for the cell shown
ΔE_f (raw) ... 0.185 eV/atom
Symmetry ... No. 123
Calculated volume ... 16.2 Å³ per atom
Spin magnetization ... 0.00 μB per cell

***

(3)
VASP calculation (SCAN) on Si4PRh at its PBEsol-relaxed geometry.

POSCAR file:
```
Si4PRh
1.0
0.000 3.500 3.500
3.500 0.000 3.500
3.500 3.500 0.000
Si P Rh
4 1 1
Direct
0.125 0.125 0.125 Si
0.125 0.125 0.626 Si
0.125 0.626 0.125 Si
0.626 0.125 0.125 Si
0.750 0.750 0.750 P
0.500 0.500 0.500 Rh
```

Output
Energy ... -79.775 eV for the cell shown
ΔE_f (raw) ... 0.743 eV/atom
Symmetry ... No. 216
Calculated volume ... 14.3 Å³ per atom
Spin magnetization ... 0.00 μB per cell

***

(4)
VASP calculation (SCAN) on SiPRh3 at its PBEsol-relaxed geometry.

POSCAR file:
```
SiPRh3
1.0
4.309 0.000 0.000
0.000 4.309 0.000
0.000 0.000 4.309
Si P Rh
1 1 3
Direct
0.000 0.000 0.000 Si
0.500 0.500 0.500 P
0.000 0.500 0.500 Rh
0.500 0.000 0.500 Rh
0.500 0.500 0.000 Rh
```

Output
Energy ... -120.384 eV for the cell shown
ΔE_f (raw) ... 0.269 eV/atom
Symmetry ... No. 221
Calculated volume ... 16.0 Å³ per atom
Spin magnetization ... 0.00 μB per cell

***

(5)
VASP calculation (SCAN) on Sr2P6Rh7 at its PBEsol-relaxed geometry.

POSCAR file:
```
Sr2P6Rh7
1.0
11.050 0.000 0.000
0.000 11.050 0.000
0.000 0.000 4.065
Sr P Rh
4 12 14
Direct
0.162 0.338 0.250 Sr
0.338 0.838 0.750 Sr
0.662 0.162 0.750 Sr
0.838 0.662 0.250 Sr
0.072 0.572 0.768 P
0.111 0.858 0.278 P
0.142 0.111 0.722 P
0.358 0.611 0.278 P
0.389 0.358 0.722 P
0.428 0.072 0.232 P
0.572 0.928 0.232 P
0.611 0.642 0.722 P
0.642 0.389 0.278 P
0.858 0.889 0.722 P
0.889 0.142 0.278 P
0.928 0.428 0.768 P
0.000 0.000 0.000 Rh
0.037 0.776 0.759 Rh
0.152 0.652 0.267 Rh
0.224 0.037 0.241 Rh
0.276 0.537 0.759 Rh
0.348 0.152 0.733 Rh
0.463 0.276 0.241 Rh
0.500 0.500 0.000 Rh
0.537 0.724 0.241 Rh
0.652 0.848 0.733 Rh
0.724 0.463 0.759 Rh
0.776 0.963 0.241 Rh
0.848 0.348 0.267 Rh
0.963 0.224 0.759 Rh
```

Output
Energy ... -717.059 eV for the cell shown
Symmetry ... No. 113
Calculated volume ... 16.5 Å³ per atom
Spin magnetization ... 0.00 μB per cell

***

(6)
VASP calculation (SCAN) on SrP2Rh at its PBEsol-relaxed geometry.

POSCAR file:
```
SrP2Rh
1.0
4.022 0.000 0.000
-2.011 3.483 0.000
0.000 0.000 15.778
Sr P Rh
3 6 3
Direct
0.000 0.000 0.000 Sr
0.333 0.667 0.667 Sr
0.667 0.333 0.333 Sr
0.000 0.000 0.210 P
0.000 0.000 0.790 P
0.333 0.667 0.457 P
0.333 0.667 0.876 P
0.667 0.333 0.124 P
0.667 0.333 0.543 P
0.000 0.000 0.500 Rh
0.333 0.667 0.167 Rh
0.667 0.333 0.833 Rh
```

Output
Energy ... -241.582 eV for the cell shown
Symmetry ... No. 166
Calculated volume ... 18.4 Å³ per atom
Spin magnetization ... 0.00 μB per cell